--- A ---
First-principles (PBE) data for a relaxed SiAsSeN2 crystal, as listed in Alexandria via LeMat-Bulk.

## Properties
DOS(E_F)	0.325	states/eV/atom

a b c (Å): 3.7019 3.7019 6.1868
angles (deg): 90.00 90.00 90.00
With the nearest neighbours (Å) after each atom.
Space group P4/mmm (No. 123)
Asymmetric unit:
Si 0.0000 0.0000 0.0000 (multiplicity 1)  4 Se 2.62
As 0.5000 0.5000 0.5000 (multiplicity 1)  4 N 1.85
Se 0.5000 0.5000 0.0000 (multiplicity 1)  4 Si 2.62
N 0.0000 0.5000 0.5000 (multiplicity 2)  2 As 1.85

***

--- B ---
First-principles (PBE) data for a relaxed SiAsSeN2 crystal, as listed in Alexandria via LeMat-Bulk.

## Properties
DOS(E_F)	0.389	states/eV/atom

a b c (Å): 3.5121 3.5121 7.6027
angles (deg): 90.00 90.00 90.00
With the nearest neighbours (Å) after each atom.
Space group P4/mmm (No. 123)
Asymmetric unit:
Si 0.0000 0.0000 0.0000 (multiplicity 1)  4 N 1.76
As 0.5000 0.5000 0.5000 (multiplicity 1)  4 Se 2.48
Se 0.0000 0.0000 0.5000 (multiplicity 1)  4 As 2.48
N 0.0000 0.5000 0.0000 (multiplicity 2)  2 Si 1.76

***

Verdict on stability: B comes out on top.

***

--- A ---
First-principles (PBE) data for a relaxed TaAs2SeN crystal, as listed in Alexandria via LeMat-Bulk.

## Properties
DOS(E_F)	0.803	states/eV/atom

a b c (Å): 5.0329 5.0329 4.9893
angles (deg): 90.00 90.00 90.00
With the nearest neighbours (Å) after each atom.
Space group P4/mmm (No. 123)
Asymmetric unit:
Ta 0.0000 0.0000 0.0000 (multiplicity 1)  2 Se 2.49, 4 As 2.52
As 0.0000 0.5000 0.0000 (multiplicity 2)  2 Ta 2.52
Se 0.0000 0.0000 0.5000 (multiplicity 1)  2 Ta 2.49
N 0.5000 0.5000 0.5000 (multiplicity 1)  8 As 3.54, 4 Se 3.56

***

--- B ---
First-principles (PBE) data for a relaxed TaAs2SeN crystal, as listed in Alexandria via LeMat-Bulk.

## Properties
DOS(E_F)	0.395	states/eV/atom

a b c (Å): 4.2318 4.2318 4.4218
angles (deg): 90.00 90.00 90.00
With the nearest neighbours (Å) after each atom.
Space group P4/mmm (No. 123)
Asymmetric unit:
Ta 0.0000 0.0000 0.0000 (multiplicity 1)  4 Se 2.99, 8 As 3.06
As 0.0000 0.5000 0.5000 (multiplicity 2)  2 N 2.12
Se 0.5000 0.5000 0.0000 (multiplicity 1)  2 N 2.21
N 0.5000 0.5000 0.5000 (multiplicity 1)  4 As 2.12, 2 Se 2.21

***

Verdict on stability: B comes out on top.